BeAuCl2 after structural relaxation. Source: Alexandria via LeMat-Bulk, functional PBE.

Cell: 6.3287 6.3287 8.8630 Å, 90.00 90.00 90.00°
Last column: nearest neighbours and their distance in Å.
Fractional coordinates of all 16 atoms:
1 Be 0.0000 0.0000 0.0000  4 Cl 2.05
2 Be 0.0000 0.5000 0.2500  4 Cl 2.05
3 Be 0.5000 0.0000 0.7500  4 Cl 2.05
4 Be 0.5000 0.5000 0.5000  4 Cl 2.05
5 Au 0.0000 0.0000 0.5000  4 Cl 3.14
6 Au 0.0000 0.5000 0.7500  4 Cl 3.14
7 Au 0.5000 0.0000 0.2500  4 Cl 3.14
8 Au 0.5000 0.5000 0.0000  4 Cl 3.14
9 Cl 0.1079 0.2500 0.1250  2 Be 2.05
10 Cl 0.2500 0.6079 0.3750  2 Be 2.05
11 Cl 0.2500 0.8921 0.8750  2 Be 2.05
12 Cl 0.3921 0.2500 0.6250  2 Be 2.05
13 Cl 0.6079 0.7500 0.6250  2 Be 2.05
14 Cl 0.7500 0.1079 0.8750  2 Be 2.05
15 Cl 0.7500 0.3921 0.3750  2 Be 2.05
16 Cl 0.8921 0.7500 0.1250  2 Be 2.05

## Properties
The calculation puts the calculated total energy at -3.00 eV per atom. The uncorrected formation energy is -31 kJ/mol of atoms. As for the density of states at the Fermi level: 0.356 states/eV/atom. As for the crystal system: tetragonal.


ScV6Ga6 after structural relaxation. Source: Alexandria via LeMat-Bulk, functional PBE.

Cell: 6.8159 6.8159 6.8159 Å, 135.83 98.57 97.68°
Last column: nearest neighbours and their distance in Å.
Fractional coordinates of all 13 atoms:
1 Sc 0.0000 0.0000 0.0000  8 Ga 2.79-3.02
2 V 0.0000 0.0000 0.5000  4 V 2.56-2.57, 6 Ga 2.62-2.70
3 V 0.0000 0.5000 0.0000  4 V 2.56-2.57, 6 Ga 2.62-2.70
4 V 0.2432 0.7432 0.5000  4 V 2.57, 6 Ga 2.63-2.71
5 V 0.5000 0.0000 0.0000  4 V 2.56-2.57, 6 Ga 2.62-2.70
6 V 0.5000 0.5000 0.5000  4 V 2.56-2.57, 6 Ga 2.62-2.70
7 V 0.7568 0.2568 0.5000  4 V 2.57, 6 Ga 2.63-2.71
8 Ga 0.1726 0.5000 0.6726  6 V 2.67, 2 Ga 2.96, 2 Sc 2.99
9 Ga 0.3109 0.3109 0.0000  6 V 2.62-2.63, 1 Sc 2.79
10 Ga 0.3395 0.0000 0.3395  6 V 2.70-2.71, 3 Ga 2.85-2.96, 1 Sc 3.02
11 Ga 0.6605 0.0000 0.6605  6 V 2.70-2.71, 3 Ga 2.85-2.96, 1 Sc 3.02
12 Ga 0.6891 0.6891 0.0000  6 V 2.62-2.63, 1 Sc 2.79
13 Ga 0.8274 0.5000 0.3274  6 V 2.67, 2 Ga 2.96, 2 Sc 2.99

## Properties
The calculation puts the calculated total energy at -6.31 eV per atom. The energy relative to the elements is -222 meV per atom. As for the density of states at the Fermi level: 1.206 states/eV/atom. As for the crystal system: orthorhombic.